[1]
VASP calculation (PBE) on a geometry-optimized La2USi3Rh12 structure.

a b c (Å): 7.6627 7.6627 7.6627
angles (deg): 63.11 63.11 63.11
With the nearest neighbours (Å) after each atom.
Fractional positions:
La (0.6027, 0.6027, 0.6027)  6 Rh 2.76-2.88
La (0.3973, 0.3973, 0.3973)  6 Rh 2.76-2.88
U (0.0000, 0.0000, 0.0000)  6 Rh 2.51
Si (0.5000, 0.0000, 0.0000)  6 Rh 2.33-2.38
Si (0.0000, 0.5000, 0.0000)  6 Rh 2.33-2.38
Si (0.0000, 0.0000, 0.5000)  6 Rh 2.33-2.38
Rh (0.3579, 0.3579, 0.8959)  2 Si 2.33
Rh (0.8630, 0.8630, 0.3853)  1 Si 2.38, 1 U 2.51
Rh (0.3853, 0.8630, 0.8630)  1 Si 2.38, 1 U 2.51
Rh (0.8959, 0.3579, 0.3579)  2 Si 2.33
Rh (0.8630, 0.3853, 0.8630)  1 Si 2.38, 1 U 2.51
Rh (0.3579, 0.8959, 0.3579)  2 Si 2.33
Rh (0.6421, 0.6421, 0.1041)  2 Si 2.33
Rh (0.1370, 0.1370, 0.6147)  1 Si 2.38, 1 U 2.51
Rh (0.6147, 0.1370, 0.1370)  1 Si 2.38, 1 U 2.51
Rh (0.1041, 0.6421, 0.6421)  2 Si 2.33
Rh (0.1370, 0.6147, 0.1370)  1 Si 2.38, 1 U 2.51
Rh (0.6421, 0.1041, 0.6421)  2 Si 2.33

Values from the calculation:
Uncorrected energy, eV per atom: -7.295
Total magnetization, μB per cell: 0.00

[2]
VASP calculation (PBE) on a geometry-optimized La2ZnSi4Rh3 structure.

a b c (Å): 4.2429 4.2429 10.0152
angles (deg): 90.00 90.00 90.00
With the nearest neighbours (Å) after each atom.
Fractional positions:
La (0.5000, 0.0000, 0.2456)  8 Si 3.23-3.25, 6 Rh 3.25-3.32, 2 Zn 3.32
La (0.0000, 0.5000, 0.7544)  8 Si 3.23-3.25, 6 Rh 3.25-3.32, 2 Zn 3.32
Zn (0.5000, 0.5000, 0.5000)  4 Si 2.52
Si (0.5000, 0.5000, 0.0000)  4 Rh 2.44
Si (0.0000, 0.0000, 0.0000)  4 Rh 2.44
Si (0.5000, 0.0000, 0.6363)  3 Rh 2.43-2.52, 2 Zn 2.52
Si (0.0000, 0.5000, 0.3637)  3 Rh 2.43-2.52, 2 Zn 2.52
Rh (0.0000, 0.0000, 0.5000)  4 Si 2.52
Rh (0.5000, 0.0000, 0.8793)  5 Si 2.43-2.44
Rh (0.0000, 0.5000, 0.1207)  5 Si 2.43-2.44

Values from the calculation:
Uncorrected energy, eV per atom: -6.370
Total magnetization, μB per cell: 0.00

[3]
VASP calculation (PBE) on a geometry-optimized LaZn2SiRh structure.

a b c (Å): 4.0718 4.2563 6.1453
angles (deg): 110.26 109.35 90.00
With the nearest neighbours (Å) after each atom.
Fractional positions:
La (0.4378, 0.4378, 0.8756)  4 Si 3.21, 8 Zn 3.21-3.50, 4 Rh 3.32-3.50
Zn (0.6951, 0.1951, 0.3903)  2 Si 2.52, 2 Zn 2.52
Zn (0.0570, 0.0570, 0.1141)  2 Zn 2.52, 1 Si 2.55, 2 Rh 2.64
Si (0.8204, 0.8204, 0.6408)  2 Rh 2.40, 3 Zn 2.52-2.55
Rh (0.2017, 0.7017, 0.4035)  2 Si 2.40, 2 Zn 2.64

Values from the calculation:
Uncorrected energy, eV per atom: -4.616
Total magnetization, μB per cell: 0.00

[4]
VASP calculation (PBE) on a geometry-optimized La2ZnSi3Rh4 structure.

a b c (Å): 4.2136 4.2136 10.1120
angles (deg): 90.00 90.00 90.00
With the nearest neighbours (Å) after each atom.
Fractional positions:
La (0.5000, 0.0000, 0.2534)  8 Rh 3.18-3.32, 6 Si 3.26, 2 Zn 3.26
La (0.0000, 0.5000, 0.7466)  8 Rh 3.18-3.32, 6 Si 3.26, 2 Zn 3.26
Zn (0.5000, 0.5000, 0.5000)  4 Rh 2.51
Si (0.0000, 0.0000, 0.5000)  4 Rh 2.51
Si (0.5000, 0.0000, 0.8764)  5 Rh 2.43-2.45
Si (0.0000, 0.5000, 0.1236)  5 Rh 2.43-2.45
Rh (0.5000, 0.5000, 0.0000)  4 Si 2.45
Rh (0.0000, 0.0000, 0.0000)  4 Si 2.45
Rh (0.5000, 0.0000, 0.6358)  3 Si 2.43-2.51, 2 Zn 2.51
Rh (0.0000, 0.5000, 0.3642)  3 Si 2.43-2.51, 2 Zn 2.51

Values from the calculation:
Uncorrected energy, eV per atom: -6.634
Total magnetization, μB per cell: 0.00

[5]
VASP calculation (PBE) on a geometry-optimized LaSm3Rh2 structure.

a b c (Å): 6.9385 7.2239 8.5569
angles (deg): 114.97 113.92 90.00
With the nearest neighbours (Å) after each atom.
Fractional positions:
La (0.0000, 0.5000, 0.0000)  2 Rh 2.68
La (0.0000, 0.0000, 0.0000)  2 Rh 2.68
Sm (0.5000, 0.2500, 0.0000)  4 Rh 3.01
Sm (0.5000, 0.7500, 0.0000)  4 Rh 3.01
Sm (0.7602, 0.0102, 0.5204)  4 Rh 2.95-3.02
Sm (0.2398, 0.4898, 0.4796)  4 Rh 2.95-3.02
Sm (0.2398, 0.9898, 0.4796)  4 Rh 2.95-3.02
Sm (0.7602, 0.5102, 0.5204)  4 Rh 2.95-3.02
Rh (0.5878, 0.3661, 0.7321)  1 La 2.68, 2 Sm 2.95
Rh (0.8556, 0.1339, 0.2679)  1 La 2.68, 2 Sm 2.95
Rh (0.1444, 0.8661, 0.7321)  1 La 2.68, 2 Sm 2.95
Rh (0.4122, 0.6339, 0.2679)  1 La 2.68, 2 Sm 2.95

Values from the calculation:
Total magnetization, μB per cell: 0.00
ΔE_f, eV per atom: -0.508

[6]
VASP calculation (PBE) on a geometry-optimized LaSmRh structure.

a b c (Å): 3.5759 3.5759 7.0872
angles (deg): 104.61 104.61 90.00
With the nearest neighbours (Å) after each atom.
Fractional positions:
Rh (0.6634, 0.6634, 0.3269)  4 Sm 3.00, 4 La 3.07
Sm (0.0421, 0.0421, 0.0842)  4 Rh 3.00, 1 La 3.34
La (0.2945, 0.2945, 0.5890)  4 Rh 3.07, 1 Sm 3.34

Values from the calculation:
Total magnetization, μB per cell: 0.00
ΔE_f, eV per atom: -0.454